Sr2PrPaO6 | PBE-GGA | relaxed

abc: 6.093 6.272 8.749
angles: 90.00 89.96 90.00
Element x y z (fractional)
Sr 0.013 0.954 0.252
Sr 0.513 0.546 0.752
Sr 0.987 0.046 0.748
Sr 0.487 0.454 0.248
Pr 0.500 0.000 0.000
Pr 0.000 0.500 0.500
Pa 0.500 0.000 0.500
Pa 0.000 0.500 0.000
O 0.291 0.687 0.056
O 0.791 0.813 0.556
O 0.709 0.313 0.944
O 0.209 0.187 0.444
O 0.314 0.712 0.434
O 0.814 0.788 0.934
O 0.686 0.288 0.566
O 0.186 0.212 0.066
O 0.886 0.552 0.237
O 0.386 0.948 0.737
O 0.114 0.448 0.763
O 0.614 0.052 0.263

Values from the calculation:
* density of states at the Fermi level: 0.0 states/eV/cell
* uncorrected energy: -8.04 eV/atom